Computed, not measured: crystalline Na3Mn3MoSe8 at its relaxed geometry at the PBE level of DFT.

## Properties
Space-group type ... R-3m (166)
Formation energy (no corrections) ... -0.624 eV/atom
Fermi-level density of states ... 7.42 states/eV per cell
E_tot ... -5.30 eV per atom
M_tot ... 14.03 μB/f.u.

Cell: 7.5286 7.5286 8.2586 Å, 117.09 90.00 120.00°
Last column: nearest neighbours and their distance in Å.
Atoms (fractional coordinates):
1 Se 0.2677 0.0320 0.2972  2 Mn 2.59-2.60, 1 Mo 2.61
2 Se 0.7650 0.5300 0.2975  2 Mn 2.59, 1 Mo 2.61
3 Se 0.7323 0.9680 0.7028  2 Mn 2.59-2.60, 1 Mo 2.61
4 Se 0.2357 0.9680 0.7028  2 Mn 2.59-2.60, 1 Mo 2.61
5 Se 0.7643 0.0320 0.2972  2 Mn 2.59-2.60, 1 Mo 2.61
6 Se 0.2665 0.5331 0.3003  3 Mn 2.59
7 Se 0.7335 0.4669 0.6997  3 Mn 2.59
8 Se 0.2350 0.4700 0.7025  2 Mn 2.59, 1 Mo 2.61
9 Na 0.0000 0.5000 0.0000  6 Se 3.02-3.03
10 Na 0.0000 0.0000 0.0000  6 Se 3.02-3.03
11 Na 0.5000 0.5000 0.0000  6 Se 3.02-3.03
12 Mn 0.5000 0.5000 0.5000  6 Se 2.59-2.60
13 Mn 0.0000 0.5000 0.5000  6 Se 2.59-2.60
14 Mn 0.5000 0.0000 0.5000  6 Se 2.59
15 Mo 0.0000 0.0000 0.5000  6 Se 2.61

=====

Computed, not measured: crystalline NaSrMnMo2 at its relaxed geometry at the PBE level of DFT.

## Properties
Space-group type ... P4/mmm (123)
Fermi-level density of states ... 10.21 states/eV per cell
E_tot ... -4.01 eV per atom
M_tot ... 3.16 μB/f.u.
Energy of formation from the pure elements ... 2.76 eV/atom

Cell: 4.8094 5.0142 4.8094 Å, 90.00 90.00 90.00°
Last column: nearest neighbours and their distance in Å.
Atoms (fractional coordinates):
1 Mn 0.5000 0.5000 0.5000  4 Sr 3.40, 8 Mo 3.47
2 Mo 0.5000 0.0000 0.0000  2 Na 2.40
3 Mo 0.0000 0.0000 0.5000  2 Na 2.40
4 Sr 0.0000 0.5000 0.0000  2 Na 2.51
5 Na 0.0000 0.0000 0.0000  4 Mo 2.40, 2 Sr 2.51

=====

Computed, not measured: crystalline NaMn2TeMo at its relaxed geometry at the PBE level of DFT.

## Properties
Space-group type ... P4/mmm (123)
Formation energy (no corrections) ... 1.724 eV/atom
Fermi-level density of states ... 5.87 states/eV per cell
E_tot ... -5.00 eV per atom
M_tot ... 4.98 μB/f.u.

Cell: 4.7869 5.1917 4.7869 Å, 90.00 90.00 90.00°
Last column: nearest neighbours and their distance in Å.
Atoms (fractional coordinates):
1 Mn 0.0000 0.0000 0.5000  2 Na 2.39
2 Mn 0.5000 0.0000 0.0000  2 Na 2.39
3 Te 0.0000 0.5000 0.0000  2 Na 2.60
4 Na 0.0000 0.0000 0.0000  4 Mn 2.39, 2 Te 2.60
5 Mo 0.5000 0.5000 0.5000  4 Te 3.38, 8 Mn 3.53